Density functional theory data (PBE) for an optimized crystal structure of ScMnPS2.

```
data_ScMnPS2
_chemical_formula_sum 'Sc1 Mn1 P1 S2'
_space_group_name_H-M_alt 'P 1'
_space_group_IT_number 1
_cell_length_a 4.850
_cell_length_b 4.850
_cell_length_c 4.989
_cell_angle_alpha 90.00
_cell_angle_beta 90.00
_cell_angle_gamma 90.00
loop_
_space_group_symop_operation_xyz
'x,y,z'
loop_
_atom_site_label
_atom_site_fract_x
_atom_site_fract_y
_atom_site_fract_z
_atom_site_occupancy
Sc1 0.000 0.000 0.000 1
Mn1 0.500 0.500 0.500 1
P1 0.000 0.000 0.500 1
S1 0.000 0.500 0.000 1
S2 0.500 0.000 0.000 1
```

As for the energy above the most stable polymorph in this dataset: 0.3803 eV/atom. The value obtained for the energy relative to the elements, uncorrected is 30 kJ/mol of formula units.



Density functional theory data (PBE) for an optimized crystal structure of ScMnP2S.

```
data_ScMnP2S
_chemical_formula_sum 'Sc1 Mn1 P2 S1'
_space_group_name_H-M_alt 'P 1'
_space_group_IT_number 1
_cell_length_a 4.193
_cell_length_b 4.193
_cell_length_c 5.102
_cell_angle_alpha 90.00
_cell_angle_beta 90.00
_cell_angle_gamma 90.00
loop_
_space_group_symop_operation_xyz
'x,y,z'
loop_
_atom_site_label
_atom_site_fract_x
_atom_site_fract_y
_atom_site_fract_z
_atom_site_occupancy
Sc1 0.000 0.000 0.000 1
Mn1 0.500 0.500 0.500 1
P1 0.000 0.500 0.500 1
P2 0.500 0.000 0.500 1
S1 0.500 0.500 0.000 1
```

As for the energy above the most stable polymorph in this dataset: 0.0000 eV/atom. The value obtained for the energy relative to the elements, uncorrected is -70 kJ/mol of formula units.



Density functional theory data (PBE) for an optimized crystal structure of MnSiP2S.

```
data_MnSiP2S
_chemical_formula_sum 'Mn1 Si1 P2 S1'
_space_group_name_H-M_alt 'P 1'
_space_group_IT_number 1
_cell_length_a 4.448
_cell_length_b 4.448
_cell_length_c 4.410
_cell_angle_alpha 90.00
_cell_angle_beta 90.00
_cell_angle_gamma 90.00
loop_
_space_group_symop_operation_xyz
'x,y,z'
loop_
_atom_site_label
_atom_site_fract_x
_atom_site_fract_y
_atom_site_fract_z
_atom_site_occupancy
Mn1 0.000 0.000 0.000 1
Si1 0.500 0.500 0.500 1
P1 0.000 0.500 0.500 1
P2 0.500 0.000 0.500 1
S1 0.500 0.500 0.000 1
```

As for the energy above the most stable polymorph in this dataset: 0.5101 eV/atom. The value obtained for the energy relative to the elements, uncorrected is 530 kJ/mol of formula units.



Density functional theory data (PBE) for an optimized crystal structure of MnSiP2S.

```
data_MnSiP2S
_chemical_formula_sum 'Mn1 Si1 P2 S1'
_space_group_name_H-M_alt 'P 1'
_space_group_IT_number 1
_cell_length_a 4.176
_cell_length_b 4.176
_cell_length_c 5.155
_cell_angle_alpha 90.00
_cell_angle_beta 90.00
_cell_angle_gamma 90.00
loop_
_space_group_symop_operation_xyz
'x,y,z'
loop_
_atom_site_label
_atom_site_fract_x
_atom_site_fract_y
_atom_site_fract_z
_atom_site_occupancy
Mn1 0.000 0.000 0.000 1
Si1 0.500 0.500 0.500 1
P1 0.000 0.500 0.000 1
P2 0.500 0.000 0.000 1
S1 0.000 0.000 0.500 1
```

As for the energy above the most stable polymorph in this dataset: 0.0000 eV/atom. The value obtained for the energy relative to the elements, uncorrected is 283 kJ/mol of formula units.



Density functional theory data (PBE) for an optimized crystal structure of SrMnP2S.

```
data_SrMnP2S
_chemical_formula_sum 'Sr1 Mn1 P2 S1'
_space_group_name_H-M_alt 'P 1'
_space_group_IT_number 1
_cell_length_a 4.285
_cell_length_b 4.285
_cell_length_c 5.540
_cell_angle_alpha 90.00
_cell_angle_beta 90.00
_cell_angle_gamma 90.00
loop_
_space_group_symop_operation_xyz
'x,y,z'
loop_
_atom_site_label
_atom_site_fract_x
_atom_site_fract_y
_atom_site_fract_z
_atom_site_occupancy
Sr1 0.000 0.000 0.000 1
Mn1 0.500 0.500 0.500 1
P1 0.000 0.500 0.500 1
P2 0.500 0.000 0.500 1
S1 0.500 0.500 0.000 1
```

As for the energy above the most stable polymorph in this dataset: 0.0000 eV/atom. The value obtained for the energy relative to the elements, uncorrected is -231 kJ/mol of formula units.



Density functional theory data (PBE) for an optimized crystal structure of SrMnP2S.

```
data_SrMnP2S
_chemical_formula_sum 'Sr1 Mn1 P2 S1'
_space_group_name_H-M_alt 'P 1'
_space_group_IT_number 1
_cell_length_a 4.964
_cell_length_b 4.964
_cell_length_c 4.095
_cell_angle_alpha 90.00
_cell_angle_beta 90.00
_cell_angle_gamma 90.00
loop_
_space_group_symop_operation_xyz
'x,y,z'
loop_
_atom_site_label
_atom_site_fract_x
_atom_site_fract_y
_atom_site_fract_z
_atom_site_occupancy
Sr1 0.000 0.000 0.000 1
Mn1 0.500 0.500 0.000 1
P1 0.000 0.500 0.500 1
P2 0.500 0.000 0.500 1
S1 0.500 0.500 0.500 1
```

As for the energy above the most stable polymorph in this dataset: 0.7457 eV/atom. The value obtained for the energy relative to the elements, uncorrected is 129 kJ/mol of formula units.



Density functional theory data (PBE) for an optimized crystal structure of SrMnP2S.

```
data_SrMnP2S
_chemical_formula_sum 'Sr1 Mn1 P2 S1'
_space_group_name_H-M_alt 'P 1'
_space_group_IT_number 1
_cell_length_a 5.463
_cell_length_b 5.463
_cell_length_c 5.380
_cell_angle_alpha 90.00
_cell_angle_beta 90.00
_cell_angle_gamma 90.00
loop_
_space_group_symop_operation_xyz
'x,y,z'
loop_
_atom_site_label
_atom_site_fract_x
_atom_site_fract_y
_atom_site_fract_z
_atom_site_occupancy
Sr1 0.000 0.000 0.000 1
Mn1 0.500 0.500 0.500 1
P1 0.000 0.500 0.000 1
P2 0.500 0.000 0.000 1
S1 0.000 0.000 0.500 1
```

As for the energy above the most stable polymorph in this dataset: 1.6633 eV/atom. The value obtained for the energy relative to the elements, uncorrected is 571 kJ/mol of formula units.



Density functional theory data (PBE) for an optimized crystal structure of SrMnP2S8.

```
data_SrMnP2S8
_chemical_formula_sum 'Sr1 Mn1 P2 S8'
_space_group_name_H-M_alt 'P 1'
_space_group_IT_number 1
_cell_length_a 5.860
_cell_length_b 5.860
_cell_length_c 8.508
_cell_angle_alpha 90.00
_cell_angle_beta 90.00
_cell_angle_gamma 120.00
loop_
_space_group_symop_operation_xyz
'x,y,z'
loop_
_atom_site_label
_atom_site_fract_x
_atom_site_fract_y
_atom_site_fract_z
_atom_site_occupancy
Sr1 0.000 0.000 0.000 1
Mn1 0.000 0.000 0.500 1
P1 0.333 0.667 0.731 1
P2 0.667 0.333 0.269 1
S1 0.005 0.687 0.330 1
S2 0.313 0.317 0.330 1
S3 0.317 0.005 0.670 1
S4 0.333 0.667 0.967 1
S5 0.667 0.333 0.033 1
S6 0.683 0.995 0.330 1
S7 0.687 0.683 0.670 1
S8 0.995 0.313 0.670 1
```

The value obtained for the energy relative to the elements, uncorrected is -633 kJ/mol of formula units.



Density functional theory data (PBE) for an optimized crystal structure of MnTlPS2.

```
data_MnTlPS2
_chemical_formula_sum 'Mn1 Tl1 P1 S2'
_space_group_name_H-M_alt 'P 1'
_space_group_IT_number 1
_cell_length_a 4.731
_cell_length_b 4.731
_cell_length_c 4.546
_cell_angle_alpha 90.00
_cell_angle_beta 90.00
_cell_angle_gamma 90.00
loop_
_space_group_symop_operation_xyz
'x,y,z'
loop_
_atom_site_label
_atom_site_fract_x
_atom_site_fract_y
_atom_site_fract_z
_atom_site_occupancy
Mn1 0.000 0.000 0.000 1
Tl1 0.500 0.500 0.500 1
P1 0.000 0.000 0.500 1
S1 0.000 0.500 0.000 1
S2 0.500 0.000 0.000 1
```

As for the energy above the most stable polymorph in this dataset: 0.0000 eV/atom. The value obtained for the energy relative to the elements, uncorrected is 54 kJ/mol of formula units.



Density functional theory data (PBE) for an optimized crystal structure of MnTlP2S.

```
data_MnTlP2S
_chemical_formula_sum 'Mn1 Tl1 P2 S1'
_space_group_name_H-M_alt 'P 1'
_space_group_IT_number 1
_cell_length_a 4.272
_cell_length_b 4.272
_cell_length_c 5.403
_cell_angle_alpha 90.00
_cell_angle_beta 90.00
_cell_angle_gamma 90.00
loop_
_space_group_symop_operation_xyz
'x,y,z'
loop_
_atom_site_label
_atom_site_fract_x
_atom_site_fract_y
_atom_site_fract_z
_atom_site_occupancy
Mn1 0.000 0.000 0.000 1
Tl1 0.500 0.500 0.500 1
P1 0.000 0.500 0.000 1
P2 0.500 0.000 0.000 1
S1 0.000 0.000 0.500 1
```

As for the energy above the most stable polymorph in this dataset: 0.0000 eV/atom. The value obtained for the energy relative to the elements, uncorrected is 117 kJ/mol of formula units.



Density functional theory data (PBE) for an optimized crystal structure of MnTlP2S.

```
data_MnTlP2S
_chemical_formula_sum 'Mn1 Tl1 P2 S1'
_space_group_name_H-M_alt 'P 1'
_space_group_IT_number 1
_cell_length_a 5.057
_cell_length_b 5.057
_cell_length_c 5.030
_cell_angle_alpha 90.00
_cell_angle_beta 90.00
_cell_angle_gamma 90.00
loop_
_space_group_symop_operation_xyz
'x,y,z'
loop_
_atom_site_label
_atom_site_fract_x
_atom_site_fract_y
_atom_site_fract_z
_atom_site_occupancy
Mn1 0.000 0.000 0.000 1
Tl1 0.500 0.500 0.500 1
P1 0.000 0.500 0.500 1
P2 0.500 0.000 0.500 1
S1 0.500 0.500 0.000 1
```

As for the energy above the most stable polymorph in this dataset: 1.7077 eV/atom. The value obtained for the energy relative to the elements, uncorrected is 941 kJ/mol of formula units.



Density functional theory data (PBE) for an optimized crystal structure of MnTlPS2.

```
data_MnTlPS2
_chemical_formula_sum 'Mn1 Tl1 P1 S2'
_space_group_name_H-M_alt 'P 1'
_space_group_IT_number 1
_cell_length_a 5.132
_cell_length_b 5.132
_cell_length_c 5.069
_cell_angle_alpha 90.00
_cell_angle_beta 90.00
_cell_angle_gamma 90.00
loop_
_space_group_symop_operation_xyz
'x,y,z'
loop_
_atom_site_label
_atom_site_fract_x
_atom_site_fract_y
_atom_site_fract_z
_atom_site_occupancy
Mn1 0.000 0.000 0.000 1
Tl1 0.500 0.500 0.500 1
P1 0.500 0.500 0.000 1
S1 0.000 0.500 0.500 1
S2 0.500 0.000 0.500 1
```

As for the energy above the most stable polymorph in this dataset: 1.0308 eV/atom. The value obtained for the energy relative to the elements, uncorrected is 551 kJ/mol of formula units.



Density functional theory data (PBE) for an optimized crystal structure of MnTl2PS4.

```
data_MnTl2PS4
_chemical_formula_sum 'Mn2 Tl4 P2 S8'
_space_group_name_H-M_alt 'P 1'
_space_group_IT_number 1
_cell_length_a 13.017
_cell_length_b 11.917
_cell_length_c 6.785
_cell_angle_alpha 83.39
_cell_angle_beta 65.43
_cell_angle_gamma 31.18
loop_
_space_group_symop_operation_xyz
'x,y,z'
loop_
_atom_site_label
_atom_site_fract_x
_atom_site_fract_y
_atom_site_fract_z
_atom_site_occupancy
Mn1 0.125 0.125 0.125 1
Mn2 0.875 0.875 0.875 1
Tl1 0.054 0.054 0.696 1
Tl2 0.304 0.304 0.946 1
Tl3 0.696 0.696 0.054 1
Tl4 0.946 0.946 0.304 1
P1 0.375 0.375 0.375 1
P2 0.625 0.625 0.625 1
S1 0.014 0.639 0.540 1
S2 0.307 0.540 0.639 1
S3 0.361 0.986 0.693 1
S4 0.460 0.693 0.986 1
S5 0.540 0.307 0.014 1
S6 0.639 0.014 0.307 1
S7 0.693 0.460 0.361 1
S8 0.986 0.361 0.460 1
```

The value obtained for the energy relative to the elements, uncorrected is -230 kJ/mol of formula units.



Short version: magnetic moment = 0.82, 0.00, 0.02, 0.00, 0.00, 0.02, 0.72, 0.25, 0.48, 0.01, 0.23, 0.70, 0.50 μB per atom, in the order given.